Entry 1:
{"formula": "AlInSCl2", "functional": "PBE", "state": "relaxed", "e_form_raw_mev_per_atom": -332, "dos_at_fermi_per_ev_fu": 1.4, "lattice_angstrom": [[5.170, 0.000, 0.000], [0.000, 5.170, 0.000], [0.000, 0.000, 5.063]], "species": ["Al", "In", "S", "Cl", "Cl"], "fractional_positions": [[0.000, 0.000, 0.000], [0.500, 0.500, 0.500], [0.500, 0.500, 0.000], [0.000, 0.500, 0.500], [0.500, 0.000, 0.500]]}

Entry 2:
{"formula": "IrPb2Au", "functional": "PBE", "state": "relaxed", "dos_at_fermi_per_ev_fu": 2.0, "e_form_ev_per_atom": 0.3654, "lattice_angstrom": [[0.000, 3.522, 3.522], [3.522, 0.000, 3.522], [3.522, 3.522, 0.000]], "species": ["Ir", "Pb", "Pb", "Au"], "fractional_positions": [[0.000, 0.000, 0.000], [0.250, 0.250, 0.250], [0.750, 0.750, 0.750], [0.500, 0.500, 0.500]]}

Entry 3:
{"formula": "Y2HfZr", "functional": "PBE", "state": "relaxed", "dos_at_fermi_per_ev_fu": 8.6, "e_form_ev_per_atom": 0.3399, "lattice_angstrom": [[0.000, 3.767, 3.767], [3.767, 0.000, 3.767], [3.767, 3.767, 0.000]], "species": ["Y", "Y", "Hf", "Zr"], "fractional_positions": [[0.250, 0.250, 0.250], [0.750, 0.750, 0.750], [0.000, 0.000, 0.000], [0.500, 0.500, 0.500]]}

Entry 4:
{"formula": "SmIn3", "functional": "PBE", "state": "relaxed", "dos_at_fermi_per_ev_fu": 1.6, "e_form_ev_per_atom": -0.4591, "lattice_angstrom": [[4.685, 0.000, 0.000], [0.000, 4.685, 0.000], [0.000, 0.000, 4.685]], "species": ["Sm", "In", "In", "In"], "fractional_positions": [[0.000, 0.000, 0.000], [0.000, 0.500, 0.500], [0.500, 0.000, 0.500], [0.500, 0.500, 0.000]]}

Entry 5:
{"formula": "LaPI", "functional": "PBE", "state": "relaxed", "e_form_raw_mev_per_atom": -1151, "dos_at_fermi_per_ev_fu": 0.3, "lattice_angstrom": [[8.552, 0.000, 0.000], [0.000, 4.198, 0.000], [-0.310, 0.000, 15.134]], "species": ["La", "La", "La", "La", "La", "La", "P", "P", "P", "P", "P", "P", "I", "I", "I", "I", "I", "I"], "fractional_positions": [[0.173, 0.250, 0.239], [0.255, 0.250, 0.899], [0.276, 0.750, 0.610], [0.724, 0.250, 0.390], [0.745, 0.750, 0.101], [0.827, 0.750, 0.761], [0.148, 0.750, 0.781], [0.436, 0.250, 0.484], [0.493, 0.250, 0.037], [0.507, 0.750, 0.963], [0.564, 0.750, 0.516], [0.852, 0.250, 0.219], [0.059, 0.750, 0.401], [0.131, 0.750, 0.076], [0.479, 0.750, 0.265], [0.521, 0.250, 0.735], [0.869, 0.250, 0.924], [0.941, 0.250, 0.599]]}

Entry 6:
{"formula": "YMnAl", "functional": "PBE", "state": "relaxed", "dos_at_fermi_per_ev_fu": 1.5, "e_form_ev_per_atom": -0.1340, "lattice_angstrom": [[4.597, 0.000, 0.000], [-2.298, 3.981, 0.000], [0.000, 0.000, 3.451]], "species": ["Y", "Mn", "Al"], "fractional_positions": [[0.000, 0.000, 0.000], [0.333, 0.667, 0.500], [0.667, 0.333, 0.500]]}